Entry 1:
First-principles (PBE) data for a relaxed Sr2Pm3Se6 crystal, as listed in the Alexandria database.

Cell: 7.359 7.352 7.612 Å, 80.78 71.34 59.97°
Fractional coordinates of all 11 atoms:
Sr1 0.167 0.665 0.500
Sr2 0.833 0.335 0.500
Pm1 0.000 0.000 0.000
Pm2 0.335 0.329 0.000
Pm3 0.665 0.671 0.000
Se1 0.410 0.664 0.768
Se2 0.747 0.000 0.765
Se3 0.074 0.336 0.768
Se4 0.253 0.000 0.235
Se5 0.590 0.336 0.232
Se6 0.926 0.664 0.232

Summary:
Crystal system: monoclinic
VASP energy, eV/atom: -5.4493
Space-group type: No. 12
Formation energy from raw total energies, eV per atom: -1.947
Total magnetic moment, μB/cell: 0.0

***

Entry 2:
First-principles (PBE) data for a relaxed Ho12Te3C5 crystal, as listed in the Alexandria database.

Cell: 13.604 13.604 13.604 Å, 109.47 109.47 109.47°
Fractional coordinates of all 80 atoms:
Te1 0.750 0.375 0.125
Te2 0.875 0.750 0.125
Te3 0.375 0.750 0.625
Te4 0.250 0.125 0.375
Te5 0.875 0.125 0.250
Te6 0.375 0.625 0.250
Te7 0.625 0.375 0.750
Te8 0.125 0.875 0.750
Te9 0.750 0.875 0.625
Te10 0.625 0.250 0.375
Te11 0.125 0.250 0.875
Te12 0.250 0.625 0.875
C1 0.125 0.375 0.250
C2 0.000 0.500 0.000
C3 0.000 0.000 0.000
C4 0.375 0.250 0.125
C5 0.500 0.000 0.500
C6 0.500 0.500 0.000
C7 0.125 0.750 0.375
C8 0.750 0.125 0.875
C9 0.750 0.625 0.375
C10 0.375 0.125 0.750
C11 0.625 0.875 0.250
C12 0.500 0.500 0.500
C13 0.500 0.000 0.000
C14 0.000 0.000 0.500
C15 0.250 0.375 0.625
C16 0.250 0.875 0.125
C17 0.000 0.500 0.500
C18 0.875 0.250 0.625
C19 0.625 0.750 0.875
C20 0.875 0.625 0.750
Ho1 0.698 0.110 0.014
Ho2 0.316 0.514 0.404
Ho3 0.986 0.390 0.302
Ho4 0.514 0.198 0.110
Ho5 0.588 0.698 0.684
Ho6 0.986 0.596 0.184
Ho7 0.316 0.802 0.412
Ho8 0.096 0.912 0.110
Ho9 0.596 0.986 0.684
Ho10 0.698 0.588 0.184
Ho11 0.802 0.486 0.390
Ho12 0.816 0.904 0.014
Ho13 0.110 0.698 0.514
Ho14 0.390 0.404 0.088
Ho15 0.088 0.904 0.390
Ho16 0.412 0.110 0.596
Ho17 0.088 0.184 0.198
Ho18 0.486 0.684 0.096
Ho19 0.816 0.912 0.302
Ho20 0.110 0.412 0.096
Ho21 0.390 0.986 0.802
Ho22 0.596 0.610 0.412
Ho23 0.904 0.816 0.514
Ho24 0.802 0.316 0.912
Ho25 0.404 0.390 0.588
Ho26 0.096 0.184 0.486
Ho27 0.198 0.684 0.088
Ho28 0.184 0.088 0.698
Ho29 0.610 0.014 0.198
Ho30 0.890 0.588 0.904
Ho31 0.514 0.316 0.904
Ho32 0.588 0.890 0.404
Ho33 0.912 0.816 0.802
Ho34 0.912 0.096 0.610
Ho35 0.890 0.302 0.486
Ho36 0.184 0.096 0.986
Ho37 0.610 0.596 0.912
Ho38 0.404 0.014 0.316
Ho39 0.302 0.412 0.816
Ho40 0.198 0.514 0.610
Ho41 0.904 0.088 0.890
Ho42 0.684 0.198 0.588
Ho43 0.486 0.802 0.890
Ho44 0.014 0.404 0.816
Ho45 0.412 0.302 0.316
Ho46 0.014 0.610 0.698
Ho47 0.684 0.486 0.596
Ho48 0.302 0.890 0.986

Summary:
Crystal system: cubic
VASP energy, eV/atom: -5.9383
Space-group type: No. 230
Formation energy from raw total energies, eV per atom: -0.414
Total magnetic moment, μB/cell: 0.0

***

Entry 3:
First-principles (PBE) data for a relaxed Ac3C4F crystal, as listed in the Alexandria database.

Cell: 4.101 4.982 10.533 Å, 103.68 54.21 90.00°
Fractional coordinates of all 8 atoms:
Ac1 0.009 0.830 0.661
Ac2 0.991 0.170 0.339
Ac3 0.000 0.500 0.000
C1 0.507 0.797 0.328
C2 0.493 0.203 0.672
C3 0.493 0.469 0.672
C4 0.507 0.531 0.328
F1 0.500 0.000 0.000

Summary:
Crystal system: monoclinic
VASP energy, eV/atom: -6.9741
Space-group type: No. 12
Formation energy from raw total energies, eV per atom: -0.588
Total magnetic moment, μB/cell: 0.0

***

Entry 4:
First-principles (PBE) data for a relaxed HoSc5Tl3 crystal, as listed in the Alexandria database.

Cell: 6.393 8.847 8.846 Å, 120.00 90.00 90.00°
Site moments in Bohr magnetons follow the coordinates.
Fractional coordinates of all 18 atoms:
Ho1 0.000 0.000 0.000  0.07
Ho2 0.500 0.000 0.000  0.07
Sc1 0.000 0.667 0.333  0.28
Sc2 0.500 0.333 0.667  0.28
Sc3 0.000 0.333 0.667  0.28
Sc4 0.500 0.667 0.333  0.28
Sc5 0.750 0.663 0.663  0.15
Sc6 0.750 0.000 0.337  0.15
Sc7 0.750 0.337 0.000  0.15
Sc8 0.250 0.337 0.337  0.15
Sc9 0.250 0.000 0.663  0.15
Sc10 0.250 0.663 0.000  0.15
Tl1 0.750 0.335 0.335  -0.01
Tl2 0.750 0.000 0.665  -0.01
Tl3 0.750 0.665 0.000  -0.01
Tl4 0.250 0.665 0.665  -0.01
Tl5 0.250 0.000 0.335  -0.01
Tl6 0.250 0.335 0.000  -0.01

Summary:
Crystal system: hexagonal
VASP energy, eV/atom: -5.0794
E_form, eV per atom: -0.264
Space-group type: No. 193
Total magnetic moment, μB/cell: 3.1

***

- Among the records above, which one has the highest total magnetic moment?
  HoSc5Tl3

***

- Which of these has the highest total magnetic moment?
  HoSc5Tl3

***

- Look up the VASP energy of the second one.
  -5.9383 eV/atom

***

- What is the formula in the second record?
  Ho12Te3C5